Computed, not measured: a relaxed structure of Th4Te3C2 at the PBE-GGA level of DFT.

The structure in CIF format:
```
data_Th4Te3C2
_symmetry_space_group_name_H-M 'C 1 2/c 1'
_symmetry_Int_Tables_number 15
_symmetry_space_group_name_Hall '-C 2yc'
_cell_length_a 14.0491
_cell_length_b 10.5610
_cell_length_c 6.7367
_cell_angle_alpha 90.00
_cell_angle_beta 90.58
_cell_angle_gamma 90.00
loop_
_atom_site_label
_atom_site_type_symbol
_atom_site_fract_x
_atom_site_fract_y
_atom_site_fract_z
Th1 Th 0.1311 0.1903 0.4647
Th2 Th 0.1721 0.4260 0.9284
Te1 Te 0.0000 0.4065 0.2500
Te2 Te 0.1072 0.1271 0.9636
C1 C 0.2105 0.3754 0.5914
```



Computed, not measured: a relaxed structure of YZrAu2 at the PBE-GGA level of DFT.

Values from the calculation:
Formation energy = -46.2 kJ/mol of atoms
Distance to the lowest polymorph of the same formula = 65 kJ/mol of formula units

The structure in CIF format:
```
data_YZrAu2
_symmetry_space_group_name_H-M 'I m m 2'
_symmetry_Int_Tables_number 44
_symmetry_space_group_name_Hall 'I 2 -2'
_cell_length_a 3.5994
_cell_length_b 4.6923
_cell_length_c 10.3529
_cell_angle_alpha 90.00
_cell_angle_beta 90.00
_cell_angle_gamma 90.00
loop_
_atom_site_label
_atom_site_type_symbol
_atom_site_fract_x
_atom_site_fract_y
_atom_site_fract_z
Y1 Y 0.0000 0.0000 0.0000
Zr1 Zr 0.0000 0.5000 0.7702
Au1 Au 0.0000 0.0000 0.5051
Au2 Au 0.0000 0.5000 0.2327
```



Computed, not measured: a relaxed structure of Pa3SeS3 at the PBE-GGA level of DFT.

The structure in CIF format:
```
data_Pa3SeS3
_symmetry_space_group_name_H-M 'R -3'
_symmetry_Int_Tables_number 148
_symmetry_space_group_name_Hall '-R 3'
_cell_length_a 8.3197
_cell_length_b 8.3197
_cell_length_c 16.4352
_cell_angle_alpha 90.00
_cell_angle_beta 90.00
_cell_angle_gamma 120.00
loop_
_atom_site_label
_atom_site_type_symbol
_atom_site_fract_x
_atom_site_fract_y
_atom_site_fract_z
Pa1 Pa 0.0021 0.3605 0.4224
Se1 Se 0.0000 0.0000 0.1671
S1 S 0.0034 0.2970 0.5888
```



Computed, not measured: a relaxed structure of Tl3Re at the PBE-GGA level of DFT.

Values from the calculation:
Formation energy = 73.5 kJ/mol of atoms
Distance to the lowest polymorph of the same formula = 88 kJ/mol of formula units

The structure in CIF format:
```
data_Tl3Re
_symmetry_space_group_name_H-M 'P -6 m 2'
_symmetry_Int_Tables_number 187
_symmetry_space_group_name_Hall 'P -6 2'
_cell_length_a 3.1679
_cell_length_b 3.1679
_cell_length_c 10.9920
_cell_angle_alpha 90.00
_cell_angle_beta 90.00
_cell_angle_gamma 120.00
loop_
_atom_site_label
_atom_site_type_symbol
_atom_site_fract_x
_atom_site_fract_y
_atom_site_fract_z
Tl1 Tl 0.0000 0.0000 0.0000
Tl2 Tl 0.6667 0.3333 0.2845
Re1 Re 0.0000 0.0000 0.5000
```



Number 1: E_tot -7.265 eV per atom, size of the total moment 0.0 μB/cell. Number 2: E_tot -5.871 eV per atom, size of the total moment 0.0 μB/cell. Number 3: E_tot -7.768 eV per atom, size of the total moment 16.8 μB/cell. Number 4: E_tot -4.125 eV per atom, size of the total moment 0.4 μB/cell.